No. 1
8
Lattice="4.1832 0.0000 0.0000 0.0000 7.2354 0.1271 0.0000 -2.5283 6.8021" Properties=species:S:1:pos:R:3 comment="La2CeSmP4 | Alexandria | PBE-GGA | optimized geometry" formation_energy_ev_per_atom=-1.556 spacegroup="P2/m, No. 10" pbc="T T T"
Ce 2.0916 3.6177 0.0635
La 2.0916 -1.2642 3.4010
La 0.0000 2.3535 3.4646
Sm 0.0000 0.0000 0.0000
P 2.0916 1.1993 1.6632
P 2.0916 3.5078 5.2659
P 0.0000 4.7813 1.7160
P 0.0000 -0.0742 5.2131

=====

No. 2
4
Lattice="3.3297 0.0023 0.0000 -0.0007 3.3297 0.0000 0.0000 0.0000 9.2923" Properties=species:S:1:pos:R:3 comment="ZrBr3 | Alexandria | PBE-GGA | optimized geometry" spacegroup="P4/mmm, No. 123" formation_energy_uncorrected_mev_per_atom=-750.8 pbc="T T T"
Zr 1.6645 1.6660 2.3231
Br 0.0000 0.0000 0.6676
Br 1.6645 1.6660 6.9692
Br 0.0000 0.0000 3.9786

=====

No. 3
4
Lattice="-0.0367 -4.1447 -2.8550 4.3471 2.5021 0.4160 0.6730 -1.5395 2.2263" Properties=species:S:1:pos:R:3 comment="LiCdIr2 | Alexandria | PBE-GGA | optimized geometry" formation_energy_ev_per_atom=0.161 spacegroup="Cmmm, No. 65" pbc="T T T"
Cd 2.5101 0.4813 1.3211
Li 0.3182 -2.8421 -0.3144
Ir 0.0000 0.0000 0.0000
Ir 2.1552 -0.8213 -1.2195

=====

No. 4
11
Lattice="5.9057 0.0000 1.7685 2.9528 5.3458 0.8842 -1.2616 0.0000 11.4797" Properties=species:S:1:pos:R:3 comment="Pr3Er6Th2 | Alexandria | PBE-GGA | optimized geometry" formation_energy_ev_per_atom=0.214 spacegroup="C2/m, No. 12" pbc="T T T"
Er 0.5560 1.7796 8.9678
Er 3.5078 0.0000 9.8579
Er 7.0409 3.5662 5.1647
Er 4.0880 1.7796 4.2804
Er 1.1363 0.0000 3.3903
Er 3.5088 3.5662 9.8520
Th 2.3220 3.5741 6.6241
Th 5.2748 1.7716 7.5083
Pr 0.0000 0.0000 0.0000
Pr 2.9528 1.7602 0.8842
Pr 5.9057 3.5856 1.7685

=====

| no. | mass density (g/cm3) |
| --- | --- |
| 1 | 5.5 |
| 2 | 5.3 |
| 3 | 13.4 |
| 4 | 8.4 |